# AgGeAs2 PBE optimized geometry
# N(E_F) in states/eV per cell: 6.2
# Spin magnetization in Bohr magnetons per cell: 0.000
# E_form in eV per atom: 0.096
# Theoretical density in g/cm3: 5.5
data_AgGeAs2
_chemical_formula_sum 'Ag4 Ge4 As8'
_cell_length_a 5.9787
_cell_length_b 5.9787
_cell_length_c 11.1332
_cell_angle_alpha 90.00
_cell_angle_beta 90.00
_cell_angle_gamma 90.00
_space_group_name_H-M_alt 'I -4 2 d'
_space_group_IT_number 122
_space_group_name_Hall 'I -4 2bw'
loop_
_atom_site_label
_atom_site_type_symbol
_atom_site_fract_x
_atom_site_fract_y
_atom_site_fract_z
Ag1 Ag 0.0000 0.0000 0.0000
Ge1 Ge 0.0000 0.0000 0.5000
As1 As 0.2377 0.2500 0.6250